This record from Alexandria describes a relaxed structure of Na2PmCrF8. The functional is GGA+U.

Summary:
The energy is -68.0 eV/cell. The spin magnetization comes out at 3.0 μB per cell.

a b c (Å): 5.0553 6.8506 5.2051
angles (deg): 90.00 90.72 90.00
Space group P2/m (No. 10)
Symmetry-distinct sites (fractional):
Na  0.0000  0.2316  0.0000 (multiplicity 2)
Pm  0.5000  0.5000  0.5000 (multiplicity 1)
Cr  0.5000  0.0000  0.5000 (multiplicity 1)
F  0.1823  0.5000  0.2041 (multiplicity 2)
F  0.2265  0.0000  0.2408 (multiplicity 2)
F  0.3247  0.2187  0.6825 (multiplicity 4)